A geometry-optimized NbFe2RhO6 structure, computed with GGA+U.

Cell lengths 5.360, 5.376, 7.683 Å; angles 90.00, 89.24, 90.00 degrees
Element x y z (fractional)
O: 0.322 0.673 0.051
O: 0.671 0.317 0.573
O: 0.120 0.425 0.750
O: 0.171 0.183 0.073
O: 0.822 0.827 0.551
O: 0.829 0.817 0.927
O: 0.178 0.173 0.449
O: 0.620 0.075 0.250
O: 0.329 0.683 0.427
O: 0.880 0.575 0.250
O: 0.678 0.327 0.949
O: 0.380 0.925 0.750
Fe: 0.508 0.463 0.237
Fe: 0.992 0.963 0.264
Fe: 0.008 0.037 0.736
Fe: 0.492 0.537 0.763
Rh: 0.500 0.000 0.000
Rh: 0.000 0.500 0.500
Nb: 0.000 0.500 0.000
Nb: 0.500 0.000 0.500

Summary:
- V: 11.069 Å³ per atom
- DFT total energy: -7.41 eV per atom